No. 1
A relaxed CuAgPt2 crystal, computed with GGA-PBE.

Energy of formation from the pure elements ... 21 meV per atom
E above lowest polymorph ... 156 meV/atom

abc: 4.7695 4.7695 4.7695
angles: 130.33 130.33 72.88
Positions (direct):
Ag1 0.5000 0.5000 0.0000
Cu1 0.7500 0.2500 0.5000
Pt1 0.0000 0.0000 0.0000
Pt2 0.2500 0.7500 0.5000

No. 2
A relaxed Ba12Mg5Ag3 crystal, computed with GGA-PBE.

Energy of formation from the pure elements ... 251 meV per atom

abc: 17.8150 17.8150 17.8150
angles: 109.47 109.47 109.47
Positions (direct):
Ag1 0.7500 0.3750 0.1250
Ag2 0.8750 0.7500 0.1250
Ag3 0.3750 0.7500 0.6250
Ag4 0.2500 0.1250 0.3750
Ag5 0.8750 0.1250 0.2500
Ag6 0.3750 0.6250 0.2500
Ag7 0.6250 0.3750 0.7500
Ag8 0.1250 0.8750 0.7500
Ag9 0.7500 0.8750 0.6250
Ag10 0.6250 0.2500 0.3750
Ag11 0.1250 0.2500 0.8750
Ag12 0.2500 0.6250 0.8750
Mg1 0.1250 0.3750 0.2500
Mg2 0.0000 0.5000 0.0000
Mg3 0.0000 0.0000 0.0000
Mg4 0.3750 0.2500 0.1250
Mg5 0.5000 0.0000 0.5000
Mg6 0.5000 0.5000 0.0000
Mg7 0.1250 0.7500 0.3750
Mg8 0.7500 0.1250 0.8750
Mg9 0.7500 0.6250 0.3750
Mg10 0.3750 0.1250 0.7500
Mg11 0.6250 0.8750 0.2500
Mg12 0.5000 0.5000 0.5000
Mg13 0.5000 0.0000 0.0000
Mg14 0.0000 0.0000 0.5000
Mg15 0.2500 0.3750 0.6250
Mg16 0.2500 0.8750 0.1250
Mg17 0.0000 0.5000 0.5000
Mg18 0.8750 0.2500 0.6250
Mg19 0.6250 0.7500 0.8750
Mg20 0.8750 0.6250 0.7500
Ba1 0.7297 0.1292 0.0607
Ba2 0.3310 0.5607 0.4315
Ba3 0.9393 0.3708 0.2703
Ba4 0.5607 0.2297 0.1292
Ba5 0.6005 0.7297 0.6690
Ba6 0.9393 0.5685 0.1690
Ba7 0.3310 0.7703 0.3995
Ba8 0.0685 0.8995 0.1292
Ba9 0.5685 0.9393 0.6690
Ba10 0.7297 0.6005 0.1690
Ba11 0.7703 0.4393 0.3708
Ba12 0.8310 0.9315 0.0607
Ba13 0.1292 0.7297 0.5607
Ba14 0.3708 0.4315 0.1005
Ba15 0.1005 0.9315 0.3708
Ba16 0.3995 0.1292 0.5685
Ba17 0.1005 0.1690 0.2297
Ba18 0.4393 0.6690 0.0685
Ba19 0.8310 0.8995 0.2703
Ba20 0.1292 0.3995 0.0685
Ba21 0.3708 0.9393 0.7703
Ba22 0.5685 0.6292 0.3995
Ba23 0.9315 0.8310 0.5607
Ba24 0.7703 0.3310 0.8995
Ba25 0.4315 0.3708 0.6005
Ba26 0.0685 0.1690 0.4393
Ba27 0.2297 0.6690 0.1005
Ba28 0.1690 0.1005 0.7297
Ba29 0.6292 0.0607 0.2297
Ba30 0.8708 0.6005 0.9315
Ba31 0.5607 0.3310 0.9315
Ba32 0.6005 0.8708 0.4315
Ba33 0.8995 0.8310 0.7703
Ba34 0.8995 0.0685 0.6292
Ba35 0.8708 0.2703 0.4393
Ba36 0.1690 0.0685 0.9393
Ba37 0.6292 0.5685 0.8995
Ba38 0.4315 0.0607 0.3310
Ba39 0.2703 0.3995 0.8310
Ba40 0.2297 0.5607 0.6292
Ba41 0.9315 0.1005 0.8708
Ba42 0.6690 0.2297 0.6005
Ba43 0.4393 0.7703 0.8708
Ba44 0.0607 0.4315 0.8310
Ba45 0.3995 0.2703 0.3310
Ba46 0.0607 0.6292 0.7297
Ba47 0.6690 0.4393 0.5685
Ba48 0.2703 0.8708 0.9393

No. 3
A relaxed Cu2Au crystal, computed with GGA-PBE.

Energy of formation from the pure elements ... 39 meV per atom
E above lowest polymorph ... 76 meV/atom

abc: 2.7618 7.2229 4.4114
angles: 90.00 90.00 78.98
Positions (direct):
Au1 0.9865 0.0271 0.0000
Au2 0.5691 0.8618 0.5000
Cu1 0.6763 0.6474 0.0000
Cu2 0.3248 0.3504 0.0000
Cu3 0.2308 0.5385 0.5000
Cu4 0.8793 0.2415 0.5000

No. 4
A relaxed KLiCd2 crystal, computed with GGA-PBE.

Energy of formation from the pure elements ... 5 meV per atom
E above lowest polymorph ... 117 meV/atom

abc: 6.3298 6.3298 6.3298
angles: 144.83 125.73 66.34
Positions (direct):
Cd1 0.0022 0.0022 0.0000
Cd2 0.7844 0.2844 0.5000
K1 0.5014 0.5014 0.0000
Li1 0.2120 0.7120 0.5000

No. 5
A relaxed LaPr2NbN4 crystal, computed with GGA-PBE.

E_form (uncorrected) ... -1.099 eV per atom

abc: 3.5339 6.4486 12.6797
angles: 90.00 90.00 105.90
Positions (direct):
La1 0.0940 0.1880 0.7500
La2 0.9060 0.8120 0.2500
Pr1 0.3694 0.7388 0.5362
Pr2 0.6306 0.2612 0.0362
Pr3 0.6306 0.2612 0.4638
Pr4 0.3694 0.7388 0.9638
Nb1 0.8324 0.6649 0.7500
Nb2 0.1676 0.3351 0.2500
N1 0.2668 0.5336 0.1313
N2 0.7332 0.4664 0.6313
N3 0.7332 0.4664 0.8687
N4 0.2668 0.5336 0.3687
N5 0.0000 0.0000 0.5000
N6 0.0000 0.0000 0.0000
N7 0.4327 0.8653 0.7500
N8 0.5673 0.1347 0.2500

No. 6
A relaxed La12Pr5Er2 crystal, computed with GGA-PBE.

Energy of formation from the pure elements ... 146 meV per atom
E above lowest polymorph ... 65 meV/atom

abc: 7.6096 11.4175 10.3111
angles: 57.45 90.00 109.47
Positions (direct):
La1 0.0076 0.0152 0.2017
La2 0.0685 0.6639 0.8342
La3 0.5955 0.6639 0.8342
La4 0.0905 0.6818 0.4688
La5 0.5912 0.6818 0.4688
La6 0.4908 0.9816 0.6893
La7 0.5092 0.0184 0.3107
La8 0.9095 0.3182 0.5312
La9 0.4088 0.3182 0.5312
La10 0.9315 0.3361 0.1658
La11 0.4045 0.3361 0.1658
La12 0.9924 0.9848 0.7983
Pr1 0.1736 0.3472 0.8178
Pr2 0.3251 0.6502 0.1528
Pr3 0.0000 0.0000 0.5000
Pr4 0.6749 0.3498 0.8472
Pr5 0.8264 0.6528 0.1822
Er1 0.7019 0.0000 0.0000
Er2 0.2981 0.0000 0.0000

No. 7
A relaxed TcTeSe2 crystal, computed with GGA-PBE.

E_form (uncorrected) ... -0.189 eV per atom

abc: 5.1963 6.2251 6.8826
angles: 91.37 86.72 114.68
Positions (direct):
Te1 0.0133 0.0020 0.8133
Te2 0.4720 0.0020 0.3738
Tc1 0.0515 0.6196 0.5936
Tc2 0.4338 0.3843 0.5935
Se1 0.4147 0.6712 0.8316
Se2 0.7398 0.6711 0.3555
Se3 0.0706 0.3328 0.3555
Se4 0.7455 0.3328 0.8316

No. 8
A relaxed Ba6SnTe3I2 crystal, computed with GGA-PBE.

E_form (uncorrected) ... -1.500 eV per atom

abc: 8.7739 8.7739 8.7241
angles: 99.62 99.62 119.84
Positions (direct):
Ba1 0.9144 0.6011 0.7432
Ba2 0.7746 0.7746 0.2584
Ba3 0.0856 0.3989 0.2568
Ba4 0.6011 0.9144 0.7432
Ba5 0.2254 0.2254 0.7416
Ba6 0.3989 0.0856 0.2568
Sn1 0.0000 0.0000 0.0000
Te1 0.1739 0.8261 0.5000
Te2 0.8261 0.1739 0.5000
Te3 0.5000 0.5000 0.5000
I1 0.3346 0.6654 0.0000
I2 0.6654 0.3346 0.0000

no.,DFT total energy (eV/atom)
1,-4.737
2,-1.729
3,-3.784
4,-1.206
5,-8.331
6,-4.704
7,-5.308
8,-3.839